Entry 1:
Computed, not measured: crystalline NbTl3Cr2Se6 at its relaxed geometry at the PBE level of DFT.

raw formation energy = -0.480 eV per atom
total magnetization = 0.484 μB per atom
SG = C2/m
crystal system = monoclinic
N(E_F) = 6.5 states/eV per cell

Cell: 6.2687 6.2687 8.8306 Å, 96.84 96.84 120.01°
Positions (direct):
Nb 0.0000 0.0000 0.0000
Tl 0.1683 0.8317 0.5000
Tl 0.5000 0.5000 0.5000
Tl 0.8317 0.1683 0.5000
Cr 0.3334 0.6666 0.0000
Cr 0.6666 0.3334 0.0000
Se 0.0585 0.4022 0.1748
Se 0.2850 0.2850 0.8254
Se 0.4022 0.0585 0.1748
Se 0.5978 0.9415 0.8252
Se 0.7150 0.7150 0.1746
Se 0.9415 0.5978 0.8252

***

Entry 2:
Computed, not measured: crystalline NbTl2CrSe at its relaxed geometry at the PBE level of DFT.

raw formation energy = 0.682 eV per atom
total magnetization = 0.972 μB per atom
SG = P4/mmm
crystal system = tetragonal
N(E_F) = 4.2 states/eV per cell

Cell: 5.6058 5.6058 4.8962 Å, 90.00 90.00 90.00°
Positions (direct):
Nb 0.0000 0.0000 0.0000
Tl 0.0000 0.5000 0.0000
Tl 0.5000 0.0000 0.0000
Cr 0.5000 0.5000 0.5000
Se 0.0000 0.0000 0.5000

***

Entry 3:
Computed, not measured: crystalline NbCr3Si at its relaxed geometry at the PBE level of DFT.

raw formation energy = 0.803 eV per atom
total magnetization = 0.829 μB per atom
SG = Pm-3m
ΔE to the lowest computed polymorph = 0.000 kcal/mol of atoms
crystal system = cubic
N(E_F) = 4.4 states/eV per cell

Cell: 4.2788 4.2788 4.2788 Å, 90.00 90.00 90.00°
Positions (direct):
Nb 0.0000 0.0000 0.0000
Cr 0.0000 0.5000 0.5000
Cr 0.5000 0.0000 0.5000
Cr 0.5000 0.5000 0.0000
Si 0.5000 0.5000 0.5000

***

Entry 4:
Computed, not measured: crystalline Nb2Cr4Si5 at its relaxed geometry at the PBE level of DFT.

raw formation energy = -0.488 eV per atom
total magnetization = 0.089 μB per atom
SG = Ibam
ΔE to the lowest computed polymorph = 0.000 kcal/mol of atoms
crystal system = orthorhombic
N(E_F) = 19.7 states/eV per cell

Cell: 9.0757 9.0757 9.0757 Å, 131.08 59.05 149.01°
Positions (direct):
Nb 0.1413 0.1199 0.2612
Nb 0.3587 0.6199 0.9787
Nb 0.6413 0.3801 0.0213
Nb 0.8587 0.8801 0.7388
Cr 0.0575 0.7500 0.3075
Cr 0.0606 0.7445 0.8051
Cr 0.4394 0.2445 0.6839
Cr 0.4425 0.7500 0.6925
Cr 0.5575 0.2500 0.3075
Cr 0.5606 0.7555 0.3161
Cr 0.9394 0.2555 0.1949
Cr 0.9425 0.2500 0.6925
Si 0.0648 0.4226 0.4875
Si 0.2116 0.7922 0.0038
Si 0.2500 0.2500 0.0000
Si 0.2884 0.2922 0.5806
Si 0.4352 0.9226 0.3578
Si 0.5648 0.0774 0.6422
Si 0.7116 0.7078 0.4194
Si 0.7500 0.7500 0.0000
Si 0.7884 0.2078 0.9962
Si 0.9352 0.5774 0.5125

***

Entry 5:
Computed, not measured: crystalline NbCrSi2 at its relaxed geometry at the PBE level of DFT.

raw formation energy = -0.011 eV per atom
total magnetization = 0.000 μB per atom
SG = Fm-3m
ΔE to the lowest computed polymorph = 0.000 kcal/mol of atoms
crystal system = cubic
N(E_F) = 11.1 states/eV per cell

Cell: 6.0764 6.0764 6.0764 Å, 90.00 90.00 90.00°
Positions (direct):
Nb 0.0000 0.0000 0.0000
Nb 0.0000 0.5000 0.5000
Nb 0.5000 0.0000 0.5000
Nb 0.5000 0.5000 0.0000
Cr 0.0000 0.0000 0.5000
Cr 0.0000 0.5000 0.0000
Cr 0.5000 0.0000 0.0000
Cr 0.5000 0.5000 0.5000
Si 0.2500 0.2500 0.2500
Si 0.2500 0.2500 0.7500
Si 0.2500 0.7500 0.2500
Si 0.2500 0.7500 0.7500
Si 0.7500 0.2500 0.2500
Si 0.7500 0.2500 0.7500
Si 0.7500 0.7500 0.2500
Si 0.7500 0.7500 0.7500

***

Entry 6:
Computed, not measured: crystalline Nb4CrSi3 at its relaxed geometry at the PBE level of DFT.

raw formation energy = -0.608 eV per atom
total magnetization = 0.000 μB per atom
SG = I4/mcm
crystal system = tetragonal
N(E_F) = 10.5 states/eV per cell

Cell: 7.4538 7.4538 7.4538 Å, 96.31 96.31 141.28°
Positions (direct):
Nb 0.0814 0.7798 0.8611
Nb 0.2202 0.0814 0.3016
Nb 0.2798 0.5814 0.8611
Nb 0.4186 0.2798 0.6984
Nb 0.5814 0.7202 0.3016
Nb 0.7202 0.4186 0.1389
Nb 0.7798 0.9186 0.6984
Nb 0.9186 0.2202 0.1389
Cr 0.2500 0.7500 0.5000
Cr 0.7500 0.2500 0.5000
Si 0.1537 0.3463 0.5000
Si 0.2500 0.2500 0.0000
Si 0.3463 0.8463 0.1926
Si 0.6537 0.1537 0.8074
Si 0.7500 0.7500 0.0000
Si 0.8463 0.6537 0.5000

***

Entry 7:
Computed, not measured: crystalline Nb2CrSi6 at its relaxed geometry at the PBE level of DFT.

raw formation energy = -0.440 eV per atom
total magnetization = 0.000 μB per atom
SG = C222
crystal system = orthorhombic
N(E_F) = 4.4 states/eV per cell

Cell: 4.7387 4.7387 6.5073 Å, 90.00 90.00 120.95°
Positions (direct):
Nb 0.0000 0.5000 0.1656
Nb 0.5000 0.0000 0.8344
Cr 0.0000 0.0000 0.5000
Si 0.1766 0.3314 0.8253
Si 0.3314 0.1766 0.1747
Si 0.3408 0.6592 0.5000
Si 0.6592 0.3408 0.5000
Si 0.6686 0.8234 0.1747
Si 0.8234 0.6686 0.8253

***

Entry 8:
Computed, not measured: crystalline Nb2CrSi at its relaxed geometry at the PBE level of DFT.

raw formation energy = 0.378 eV per atom
total magnetization = 0.575 μB per atom
SG = I-42d
crystal system = tetragonal
N(E_F) = 13.1 states/eV per cell

Cell: 7.0088 7.0088 5.5108 Å, 90.00 90.00 90.00°
Positions (direct):
Nb 0.2442 0.7500 0.1250
Nb 0.2500 0.2442 0.8750
Nb 0.2500 0.2558 0.3750
Nb 0.2558 0.7500 0.6250
Nb 0.7442 0.2500 0.6250
Nb 0.7500 0.7442 0.3750
Nb 0.7500 0.7558 0.8750
Nb 0.7558 0.2500 0.1250
Cr 0.0000 0.0000 0.5000
Cr 0.0000 0.5000 0.7500
Cr 0.5000 0.0000 0.2500
Cr 0.5000 0.5000 0.0000
Si 0.0000 0.0000 0.0000
Si 0.0000 0.5000 0.2500
Si 0.5000 0.0000 0.7500
Si 0.5000 0.5000 0.5000

***

Entry 9:
Computed, not measured: crystalline NbCrSi at its relaxed geometry at the PBE level of DFT.

raw formation energy = -0.290 eV per atom
total magnetization = 0.000 μB per atom
SG = C2/m
crystal system = monoclinic
N(E_F) = 7.3 states/eV per cell

Cell: 9.5280 3.0470 6.7998 Å, 90.00 116.09 90.00°
Positions (direct):
Nb 0.1283 0.0000 0.2680
Nb 0.3717 0.5000 0.7320
Nb 0.6283 0.5000 0.2680
Nb 0.8717 0.0000 0.7320
Cr 0.1375 0.5000 0.9465
Cr 0.3625 0.0000 0.0535
Cr 0.6375 0.0000 0.9465
Cr 0.8625 0.5000 0.0535
Si 0.1280 0.0000 0.6643
Si 0.3720 0.5000 0.3357
Si 0.6280 0.5000 0.6643
Si 0.8720 0.0000 0.3357

***

Entry 10:
Computed, not measured: crystalline Nb3CrSi at its relaxed geometry at the PBE level of DFT.

raw formation energy = 1.060 eV per atom
total magnetization = 0.003 μB per atom
SG = Pm-3m
ΔE to the lowest computed polymorph = 4.919 kcal/mol of atoms
crystal system = cubic
N(E_F) = 12.9 states/eV per cell

Cell: 4.6199 4.6199 4.6199 Å, 90.00 90.00 90.00°
Positions (direct):
Nb 0.0000 0.0000 0.5000
Nb 0.0000 0.5000 0.0000
Nb 0.5000 0.0000 0.0000
Cr 0.5000 0.5000 0.5000
Si 0.0000 0.0000 0.0000